Entry from Alexandria via LeMat-Bulk: a relaxed Rh2WCl crystal (PBE-GGA).

**Calculated total energy**: -6.697 eV per atom
**Size of the total moment**: 0.0 μB/cell
**Theoretical density**: 11.3 Mg/m³
**Formation energy (no corrections)**: 679 meV per atom

The structure in POSCAR format:
```
Rh2WCl
1.0
2.794 0.000 0.000
0.000 4.736 0.000
0.000 0.000 4.736
Cl Rh W
1 2 1
Direct
0.500 0.000 0.500 Cl
0.000 0.000 0.000 Rh
0.000 0.500 0.500 Rh
0.500 0.500 0.000 W
```